# 1
Density functional theory data (PBE) for crystalline Ti2ZnNi4 at its relaxed geometry.

The space group is I4/mmm (No. 139) and the conventional cell measures 3.4735, 3.4735 and 16.2401 Å, with angles of 90.00, 90.00 and 90.00 degrees. The distinct sites, in fractional coordinates, are Ti at (0.0000, 0.0000, 0.1236), Zn at (0.0000, 0.0000, 0.5000), Ni at (0.0000, 0.0000, 0.3554) and Ni at (0.0000, 0.5000, 0.2500).

The energy above the most stable polymorph in this dataset comes out at 0.007 eV per atom. The value obtained for the formation energy from the elements is -0.22 eV per atom.

---

# 2
Density functional theory data (PBE) for crystalline LiAcSe2 at its relaxed geometry.

The space group is R3m (No. 160, hexagonal axes) and the conventional cell measures 4.4021, 4.4021 and 21.7342 Å, with angles of 90.00, 90.00 and 120.00 degrees. The distinct sites, in fractional coordinates, are Li at (0.0000, 0.0000, 0.0000), Ac at (0.0000, 0.0000, 0.8131), Se at (0.0000, 0.0000, 0.2247) and Se at (0.0000, 0.0000, 0.3932).

The calculation puts the calculated total energy at -19.42 eV per formula unit.

---

# 3
Density functional theory data (PBE) for crystalline CsPmH2F8 at its relaxed geometry.

The space group is P-1 (No. 2) and the conventional cell measures 4.4189, 4.4452 and 9.3176 Å, with angles of 86.65, 86.72 and 66.36 degrees. The distinct sites, in fractional coordinates, are Cs at (0.0000, 0.0000, 0.0000), Pm at (0.0000, 0.0000, 0.5000), H at (0.4870, 0.4864, 0.7145), F at (0.2485, 0.7203, 0.7187), F at (0.2731, 0.2722, 0.0634), F at (0.2761, 0.7499, 0.2815) and F at (0.3101, 0.3065, 0.5021).

The calculation puts the calculated total energy at -54.54 eV per formula unit.

---

# 4
Density functional theory data (PBE) for crystalline PaV2N4 at its relaxed geometry.

The space group is Cmcm (No. 63) and the conventional cell measures 3.1497, 9.6015 and 9.7907 Å, with angles of 90.00, 90.00 and 90.00 degrees. The distinct sites, in fractional coordinates, are Pa at (0.0000, 0.1213, 0.2500), V at (0.0000, 0.3822, 0.0573), N at (0.0000, 0.0000, 0.0000), N at (0.0000, 0.2681, 0.6117) and N at (0.0000, 0.4349, 0.2500).

The calculation puts the calculated total energy at -69.16 eV per formula unit.

---

# 5
Density functional theory data (PBE) for crystalline FeSn2PtN at its relaxed geometry.

The space group is P4/mmm (No. 123) and the conventional cell measures 5.0858, 5.0858 and 3.4148 Å, with angles of 90.00, 90.00 and 90.00 degrees. The distinct sites, in fractional coordinates, are Fe at (0.0000, 0.0000, 0.0000), Sn at (0.0000, 0.5000, 0.0000), Pt at (0.5000, 0.5000, 0.5000) and N at (0.0000, 0.0000, 0.5000).

The calculation puts the calculated total energy at -29.95 eV per formula unit.

---

# 6
Density functional theory data (PBE) for crystalline ErAl3C3 at its relaxed geometry.

The space group is P6_3/mmc (No. 194) and the conventional cell measures 3.4225, 3.4225 and 17.2432 Å, with angles of 90.00, 90.00 and 120.00 degrees. The distinct sites, in fractional coordinates, are Er at (0.0000, 0.0000, 0.0000), Al at (0.3333, 0.6667, 0.1329), Al at (0.3333, 0.6667, 0.7500), C at (0.3333, 0.6667, 0.2500) and C at (0.3333, 0.6667, 0.5919).

The value obtained for the formation energy from the elements is -0.32 eV per atom.

---

# 7
Density functional theory data (PBE) for crystalline Pa2SiC at its relaxed geometry.

The space group is P4/mmm (No. 123) and the conventional cell measures 3.1021, 3.1021 and 7.1341 Å, with angles of 90.00, 90.00 and 90.00 degrees. The distinct sites, in fractional coordinates, are Pa at (0.0000, 0.0000, 0.2063), Si at (0.5000, 0.5000, 0.5000) and C at (0.5000, 0.5000, 0.0000).

The energy above the most stable polymorph in this dataset comes out at 0.274 eV per atom.

---

# 8
Density functional theory data (PBE) for crystalline Cs3Er2NpS6 at its relaxed geometry.

The space group is C2/m (No. 12) and the conventional cell measures 7.1244, 12.3253 and 8.3950 Å, with angles of 90.00, 106.38 and 90.00 degrees. The distinct sites, in fractional coordinates, are Cs at (0.0000, 0.0000, 0.0000), Cs at (0.0000, 0.3330, 0.0000), Er at (0.0000, 0.1660, 0.5000), Np at (0.0000, 0.5000, 0.5000), S at (0.2216, 0.0000, 0.6810) and S at (0.2299, 0.3308, 0.6806).

The calculation puts the calculated total energy at -69.21 eV per formula unit.

---

no.,calculated volume (Å³ per cell)
1,195.9
2,364.8
3,167.3
4,296.1
5,88.3
6,174.9
7,68.7
8,707.3